[1]
A relaxed structure of Ag5AsS5, computed with PBE.

- Theoretical density: 5.936 g cm⁻³
- Space-group type: C2/m, No. 12
- Total magnetic moment: 0.00 μB/cell
- Raw formation energy: 1.9 kJ per mole of atoms

Structure (POSCAR):
```
Ag5AsS5
1.0
-4.666 -1.721 -1.195
3.276 -4.040 3.973
-3.019 5.192 4.310
Ag As S
5 1 5
Direct
0.654 0.307 0.346 Ag
0.660 0.320 0.821 Ag
0.000 0.000 0.500 Ag
0.340 0.680 0.179 Ag
0.346 0.693 0.654 Ag
0.000 0.000 0.000 As
0.854 0.708 0.183 S
0.833 0.667 0.677 S
0.500 0.000 0.000 S
0.167 0.333 0.323 S
0.146 0.292 0.817 S
```

=====

[2]
A relaxed structure of AgAs3S, computed with PBE.

- Theoretical density: 5.415 g cm⁻³
- Space-group type: Pm-3m, No. 221
- Total magnetic moment: 0.00 μB/cell
- Distance to the lowest polymorph of the same formula: 0 meV/atom
- Raw formation energy: 75.0 kJ per mole of atoms

Structure (POSCAR):
```
AgAs3S
1.0
-4.649 1.248 -0.216
-0.039 -0.961 -4.721
-1.266 -4.553 0.938
As S Ag
3 1 1
Direct
0.000 0.500 0.000 As
0.000 0.000 0.500 As
0.500 0.000 0.000 As
0.000 0.000 0.000 S
0.500 0.500 0.500 Ag
```